Entry 1:
This record from Alexandria via LeMat-Bulk describes crystalline Na2YTcO6 at its relaxed geometry. The functional is GGA-PBE.

Computed properties:
ΔE_f (raw), eV per atom: -1.979
Total magnetization, μB per cell: 0.00
Symmetry: No. 14

Cell and atoms, written as POSCAR:
```
Na2YTcO6
1.0
5.622 0.000 -0.033
0.000 5.764 0.000
0.001 0.000 8.047
O Na Y Tc
12 4 2 2
Direct
0.411 0.972 0.727
0.180 0.228 0.051
0.589 0.028 0.273
0.228 0.185 0.457
0.089 0.472 0.773
0.680 0.272 0.551
0.728 0.315 0.957
0.272 0.685 0.043
0.772 0.815 0.543
0.820 0.772 0.949
0.320 0.728 0.449
0.911 0.528 0.227
0.510 0.539 0.751
0.010 0.961 0.251
0.490 0.461 0.249
0.990 0.039 0.749
0.500 0.000 0.000
0.000 0.500 0.500
0.000 0.500 0.000
0.500 0.000 0.500
```

---

Entry 2:
This record from Alexandria via LeMat-Bulk describes crystalline Na3Zn3TcO8 at its relaxed geometry. The functional is GGA-PBE.

Computed properties:
ΔE_f (raw), eV per atom: -1.408
Total magnetization, μB per cell: 0.00
Symmetry: No. 166

Cell and atoms, written as POSCAR:
```
Na3Zn3TcO8
1.0
-0.343 -2.749 5.623
5.590 1.376 -2.479
-3.759 4.883 2.157
Na O Zn Tc
3 8 3 1
Direct
0.000 0.000 0.000
0.000 0.500 0.000
0.500 0.500 0.000
0.212 0.989 0.701
0.788 0.575 0.299
0.224 0.011 0.299
0.212 0.425 0.701
0.788 0.011 0.299
0.776 0.989 0.701
0.724 0.448 0.672
0.276 0.552 0.328
0.500 0.500 0.500
0.500 0.000 0.500
0.000 0.500 0.500
0.000 0.000 0.500
```

---

Entry 3:
This record from Alexandria via LeMat-Bulk describes crystalline Na2TeO4 at its relaxed geometry. The functional is GGA-PBE.

Computed properties:
ΔE_f (raw), eV per atom: -1.312
Total magnetization, μB per cell: 0.00
Symmetry: No. 139
Energy above the most stable polymorph in this dataset, meV/atom: 112

Cell and atoms, written as POSCAR:
```
Na2TeO4
1.0
3.948 0.000 0.000
0.000 3.948 0.000
1.974 1.974 6.062
Na O Te
2 4 1
Direct
0.342 0.342 0.315
0.658 0.658 0.685
0.000 0.500 0.000
0.500 0.000 0.000
0.846 0.846 0.309
0.154 0.154 0.691
0.000 0.000 0.000
```

---

Q: What is the formula in the third record?
A: Na2TeO4